# PBE-GGA Ca2TbAu, optimized geometry
# total magnetization	0.0	μB per cell
# mass density	5.976	g/cm3
# relative energy among the computed polymorphs	0.0	kJ/mol of atoms
# formation energy	-0.311	eV/atom
data_Ca2TbAu
_space_group_name_H-M_alt 'P 4/m m m'
_space_group_IT_number 123
_space_group_name_Hall '-P 4 2'
_cell_length_a 3.564
_cell_length_b 3.564
_cell_length_c 9.539
_cell_angle_alpha 90.00
_cell_angle_beta 90.00
_cell_angle_gamma 90.00
loop_
_atom_site_label
_atom_site_fract_x
_atom_site_fract_y
_atom_site_fract_z
Ca1 0.000 0.000 0.193
Tb1 0.500 0.500 0.500
Au1 0.500 0.500 0.000


# PBE-GGA CaTbAu2, optimized geometry
# total magnetization	0.0	μB per cell
# mass density	10.228	g/cm3
# formation energy	-0.833	eV/atom
data_CaTbAu2
_space_group_name_H-M_alt 'P 4/m m m'
_space_group_IT_number 123
_space_group_name_Hall '-P 4 2'
_cell_length_a 3.639
_cell_length_b 3.639
_cell_length_c 7.271
_cell_angle_alpha 90.00
_cell_angle_beta 90.00
_cell_angle_gamma 90.00
loop_
_atom_site_label
_atom_site_fract_x
_atom_site_fract_y
_atom_site_fract_z
Ca1 0.000 0.000 0.000
Tb1 0.000 0.000 0.500
Au1 0.500 0.500 0.271


# PBE-GGA CaTb2Au, optimized geometry
# total magnetization	0.0	μB per cell
# mass density	7.025	g/cm3
# relative energy among the computed polymorphs	8.5	kJ/mol of atoms
# formation energy	-0.258	eV/atom
data_CaTb2Au
_space_group_name_H-M_alt 'R -3 m'
_space_group_IT_number 166
_space_group_name_Hall '-R 3 2"'
_cell_length_a 3.8757
_cell_length_b 3.8757
_cell_length_c 30.2469
_cell_angle_alpha 90.00
_cell_angle_beta 90.00
_cell_angle_gamma 120.00
loop_
_atom_site_label
_atom_site_fract_x
_atom_site_fract_y
_atom_site_fract_z
Ca1 0.0000 0.0000 0.0000
Tb1 0.0000 0.0000 0.2297
Au1 0.0000 0.0000 0.5000


# PBE-GGA Ca2TbAu6, optimized geometry
# total magnetization	0.0	μB per cell
# mass density	12.037	g/cm3
# formation energy	-0.690	eV/atom
data_Ca2TbAu6
_space_group_name_H-M_alt 'C 1 2/m 1'
_space_group_IT_number 12
_space_group_name_Hall '-C 2y'
_cell_length_a 5.311
_cell_length_b 16.028
_cell_length_c 5.296
_cell_angle_alpha 90.00
_cell_angle_beta 119.59
_cell_angle_gamma 90.00
loop_
_atom_site_label
_atom_site_fract_x
_atom_site_fract_y
_atom_site_fract_z
Ca1 0.000 0.167 0.000
Tb1 0.000 0.500 0.500
Au1 0.158 0.000 0.830
Au2 0.168 0.335 0.339


# PBE-GGA CaTbAu, optimized geometry
# total magnetization	0.0	μB per cell
# mass density	7.391	g/cm3
# relative energy among the computed polymorphs	17.1	kJ/mol of atoms
# formation energy	-0.358	eV/atom
data_CaTbAu
_space_group_name_H-M_alt 'P 3 m 1'
_space_group_IT_number 156
_space_group_name_Hall 'P 3 -2"'
_cell_length_a 4.8761
_cell_length_b 4.8761
_cell_length_c 4.3203
_cell_angle_alpha 90.00
_cell_angle_beta 90.00
_cell_angle_gamma 120.00
loop_
_atom_site_label
_atom_site_fract_x
_atom_site_fract_y
_atom_site_fract_z
Ca1 0.0000 0.0000 0.0000
Tb1 0.3333 0.6667 0.4921
Au1 0.6667 0.3333 0.6451


# PBE-GGA Ca2TbAu4, optimized geometry
# total magnetization	0.0	μB per cell
# mass density	9.573	g/cm3
# formation energy	-0.660	eV/atom
data_Ca2TbAu4
_space_group_name_H-M_alt 'I 4/m m m'
_space_group_IT_number 139
_space_group_name_Hall '-I 4 2'
_cell_length_a 5.191
_cell_length_b 5.191
_cell_length_c 13.219
_cell_angle_alpha 90.00
_cell_angle_beta 90.00
_cell_angle_gamma 90.00
loop_
_atom_site_label
_atom_site_fract_x
_atom_site_fract_y
_atom_site_fract_z
Ca1 0.000 0.000 0.227
Tb1 0.000 0.000 0.500
Au1 0.000 0.500 0.114


# PBE-GGA CaTb2TmAu4, optimized geometry
# total magnetization	0.0	μB per cell
# mass density	11.695	g/cm3
# formation energy	-0.853	eV/atom
data_CaTb2TmAu4
_space_group_name_H-M_alt 'R -3 m'
_space_group_IT_number 166
_space_group_name_Hall '-R 3 2"'
_cell_length_a 5.0750
_cell_length_b 5.0750
_cell_length_c 25.1078
_cell_angle_alpha 90.00
_cell_angle_beta 90.00
_cell_angle_gamma 120.00
loop_
_atom_site_label
_atom_site_fract_x
_atom_site_fract_y
_atom_site_fract_z
Ca1 0.0000 0.0000 0.0000
Tb1 0.0000 0.0000 0.2514
Tm1 0.0000 0.0000 0.5000
Au1 0.0000 0.0000 0.1306
Au2 0.0000 0.0000 0.3800


# PBE-GGA CaTbTm2Au4, optimized geometry
# total magnetization	0.0	μB per cell
# mass density	11.945	g/cm3
# formation energy	-0.848	eV/atom
data_CaTbTm2Au4
_space_group_name_H-M_alt 'R -3 m'
_space_group_IT_number 166
_space_group_name_Hall '-R 3 2"'
_cell_length_a 5.0566
_cell_length_b 5.0566
_cell_length_c 24.9505
_cell_angle_alpha 90.00
_cell_angle_beta 90.00
_cell_angle_gamma 120.00
loop_
_atom_site_label
_atom_site_fract_x
_atom_site_fract_y
_atom_site_fract_z
Ca1 0.0000 0.0000 0.0000
Tb1 0.0000 0.0000 0.5000
Tm1 0.0000 0.0000 0.2517
Au1 0.0000 0.0000 0.1293
Au2 0.0000 0.0000 0.3781


# PBE-GGA CaTbZn2Au5, optimized geometry
# total magnetization	0.0	μB per cell
# mass density	12.022	g/cm3
# formation energy	-0.505	eV/atom
data_CaTbZn2Au5
_space_group_name_H-M_alt 'P 4/m m m'
_space_group_IT_number 123
_space_group_name_Hall '-P 4 2'
_cell_length_a 4.439
_cell_length_b 4.439
_cell_length_c 9.213
_cell_angle_alpha 90.00
_cell_angle_beta 90.00
_cell_angle_gamma 90.00
loop_
_atom_site_label
_atom_site_fract_x
_atom_site_fract_y
_atom_site_fract_z
Ca1 0.000 0.000 0.000
Tb1 0.000 0.000 0.500
Zn1 0.500 0.500 0.371
Au1 0.000 0.500 0.231
Au2 0.500 0.500 0.000


# PBE-GGA CaTbZnAu, optimized geometry
# total magnetization	0.0	μB per cell
# mass density	7.998	g/cm3
# relative energy among the computed polymorphs	0.0	kJ/mol of atoms
# formation energy	-0.563	eV/atom
data_CaTbZnAu
_space_group_name_H-M_alt 'P 4 m m'
_space_group_IT_number 99
_space_group_name_Hall 'P 4 -2'
_cell_length_a 3.650
_cell_length_b 3.650
_cell_length_c 7.189
_cell_angle_alpha 90.00
_cell_angle_beta 90.00
_cell_angle_gamma 90.00
loop_
_atom_site_label
_atom_site_fract_x
_atom_site_fract_y
_atom_site_fract_z
Ca1 0.000 0.000 0.000
Tb1 0.000 0.000 0.502
Zn1 0.500 0.500 0.266
Au1 0.500 0.500 0.730


# PBE-GGA CaTb2ZnAu4, optimized geometry
# total magnetization	0.0	μB per cell
# mass density	11.486	g/cm3
# formation energy	-0.715	eV/atom
data_CaTb2ZnAu4
_space_group_name_H-M_alt 'R -3 m'
_space_group_IT_number 166
_space_group_name_Hall '-R 3 2"'
_cell_length_a 4.9785
_cell_length_b 4.9785
_cell_length_c 24.4739
_cell_angle_alpha 90.00
_cell_angle_beta 90.00
_cell_angle_gamma 120.00
loop_
_atom_site_label
_atom_site_fract_x
_atom_site_fract_y
_atom_site_fract_z
Ca1 0.0000 0.0000 0.0000
Tb1 0.0000 0.0000 0.2431
Zn1 0.0000 0.0000 0.5000
Au1 0.0000 0.0000 0.1231
Au2 0.0000 0.0000 0.3771


# PBE-GGA CaTbZnAu, optimized geometry
# total magnetization	0.0	μB per cell
# mass density	8.122	g/cm3
# relative energy among the computed polymorphs	1.4	kJ/mol of atoms
# formation energy	-0.548	eV/atom
data_CaTbZnAu
_space_group_name_H-M_alt 'F -4 3 m'
_space_group_IT_number 216
_space_group_name_Hall 'F -4 2 3'
_cell_length_a 7.226
_cell_length_b 7.226
_cell_length_c 7.226
_cell_angle_alpha 90.00
_cell_angle_beta 90.00
_cell_angle_gamma 90.00
loop_
_atom_site_label
_atom_site_fract_x
_atom_site_fract_y
_atom_site_fract_z
Ca1 0.000 0.000 0.000
Tb1 0.000 0.000 0.500
Zn1 0.250 0.250 0.250
Au1 0.250 0.250 0.750


# PBE-GGA CaTc2Au, optimized geometry
# total magnetization	0.0	μB per cell
# mass density	8.438	g/cm3
# relative energy among the computed polymorphs	23.7	kJ/mol of atoms
# formation energy	0.301	eV/atom
data_CaTc2Au
_space_group_name_H-M_alt 'C 1 2/m 1'
_space_group_IT_number 12
_space_group_name_Hall '-C 2y'
_cell_length_a 9.904
_cell_length_b 3.714
_cell_length_c 4.859
_cell_angle_alpha 90.00
_cell_angle_beta 107.54
_cell_angle_gamma 90.00
loop_
_atom_site_label
_atom_site_fract_x
_atom_site_fract_y
_atom_site_fract_z
Ca1 0.000 0.000 0.000
Tc1 0.231 0.000 0.627
Au1 0.000 0.500 0.500


# PBE-GGA CaTc2Au, optimized geometry
# total magnetization	0.0	μB per cell
# mass density	10.200	g/cm3
# relative energy among the computed polymorphs	49.3	kJ/mol of atoms
# formation energy	0.566	eV/atom
data_CaTc2Au
_space_group_name_H-M_alt 'P 4/m m m'
_space_group_IT_number 123
_space_group_name_Hall '-P 4 2'
_cell_length_a 2.747
_cell_length_b 2.747
_cell_length_c 9.344
_cell_angle_alpha 90.00
_cell_angle_beta 90.00
_cell_angle_gamma 90.00
loop_
_atom_site_label
_atom_site_fract_x
_atom_site_fract_y
_atom_site_fract_z
Ca1 0.000 0.000 0.000
Tc1 0.500 0.500 0.269
Au1 0.000 0.000 0.500


# PBE-GGA CaTc2Au, optimized geometry
# total magnetization	0.0	μB per cell
# mass density	10.129	g/cm3
# relative energy among the computed polymorphs	31.6	kJ/mol of atoms
# formation energy	0.383	eV/atom
data_CaTc2Au
_space_group_name_H-M_alt 'P m m m'
_space_group_IT_number 47
_space_group_name_Hall '-P 2 2'
_cell_length_a 3.295
_cell_length_b 4.398
_cell_length_c 4.899
_cell_angle_alpha 90.00
_cell_angle_beta 90.00
_cell_angle_gamma 90.00
loop_
_atom_site_label
_atom_site_fract_x
_atom_site_fract_y
_atom_site_fract_z
Ca1 0.000 0.000 0.000
Tc1 0.000 0.500 0.500
Tc2 0.500 0.000 0.500
Au1 0.500 0.500 0.000


# PBE-GGA Ca2TcAu, optimized geometry
# total magnetization	4.4	μB per cell
# mass density	5.391	g/cm3
# relative energy among the computed polymorphs	5.0	kJ/mol of atoms
# formation energy	0.139	eV/atom
data_Ca2TcAu
_space_group_name_H-M_alt 'R 3 m'
_space_group_IT_number 160
_space_group_name_Hall 'R 3 -2"'
_cell_length_a 4.5063
_cell_length_b 4.5063
_cell_length_c 19.7118
_cell_angle_alpha 90.00
_cell_angle_beta 90.00
_cell_angle_gamma 120.00
loop_
_atom_site_label
_atom_site_fract_x
_atom_site_fract_y
_atom_site_fract_z
Ca1 0.0000 0.0000 0.0000
Ca2 0.0000 0.0000 0.1818
Tc1 0.0000 0.0000 0.4232
Au1 0.0000 0.0000 0.7584


# PBE-GGA CaTc2Au, optimized geometry
# total magnetization	0.0	μB per cell
# mass density	8.993	g/cm3
# relative energy among the computed polymorphs	24.0	kJ/mol of atoms
# formation energy	0.304	eV/atom
data_CaTc2Au
_space_group_name_H-M_alt 'C 1 m 1'
_space_group_IT_number 8
_space_group_name_Hall 'C -2y'
_cell_length_a 8.611
_cell_length_b 3.140
_cell_length_c 6.011
_cell_angle_alpha 90.00
_cell_angle_beta 100.26
_cell_angle_gamma 90.00
loop_
_atom_site_label
_atom_site_fract_x
_atom_site_fract_y
_atom_site_fract_z
Ca1 0.000 0.000 0.000
Tc1 0.006 0.500 0.543
Tc2 0.223 0.000 0.652
Au1 0.262 0.500 0.279


# PBE-GGA CaTc2Au, optimized geometry
# total magnetization	12.9	μB per cell
# mass density	10.045	g/cm3
# relative energy among the computed polymorphs	75.0	kJ/mol of atoms
# formation energy	0.832	eV/atom
data_CaTc2Au
_space_group_name_H-M_alt 'F m -3 m'
_space_group_IT_number 225
_space_group_name_Hall '-F 4 2 3'
_cell_length_a 6.591
_cell_length_b 6.591
_cell_length_c 6.591
_cell_angle_alpha 90.00
_cell_angle_beta 90.00
_cell_angle_gamma 90.00
loop_
_atom_site_label
_atom_site_fract_x
_atom_site_fract_y
_atom_site_fract_z
Ca1 0.000 0.000 0.000
Tc1 0.250 0.250 0.250
Au1 0.000 0.000 0.500


# PBE-GGA Ca2TcAu, optimized geometry
# total magnetization	3.0	μB per cell
# mass density	6.696	g/cm3
# relative energy among the computed polymorphs	5.5	kJ/mol of atoms
# formation energy	0.144	eV/atom
data_Ca2TcAu
_space_group_name_H-M_alt 'I m m 2'
_space_group_IT_number 44
_space_group_name_Hall 'I 2 -2'
_cell_length_a 3.400
_cell_length_b 5.019
_cell_length_c 10.904
_cell_angle_alpha 90.00
_cell_angle_beta 90.00
_cell_angle_gamma 90.00
loop_
_atom_site_label
_atom_site_fract_x
_atom_site_fract_y
_atom_site_fract_z
Ca1 0.000 0.000 0.000
Ca2 0.000 0.500 0.208
Tc1 0.000 0.500 0.757
Au1 0.000 0.000 0.456


# PBE-GGA CaTc2Au, optimized geometry
# total magnetization	0.0	μB per cell
# mass density	9.603	g/cm3
# relative energy among the computed polymorphs	0.0	kJ/mol of atoms
# formation energy	0.055	eV/atom
data_CaTc2Au
_space_group_name_H-M_alt 'P 4 m m'
_space_group_IT_number 99
_space_group_name_Hall 'P 4 -2'
_cell_length_a 3.112
_cell_length_b 3.112
_cell_length_c 7.730
_cell_angle_alpha 90.00
_cell_angle_beta 90.00
_cell_angle_gamma 90.00
loop_
_atom_site_label
_atom_site_fract_x
_atom_site_fract_y
_atom_site_fract_z
Ca1 0.000 0.000 0.000
Tc1 0.000 0.000 0.461
Tc2 0.500 0.500 0.296
Au1 0.500 0.500 0.717